Record 1
Computed, not measured: Al2ZnAgC after structural relaxation at the PBE level of DFT.

- Crystal system: tetragonal
- Symmetry: No. 123
- ΔH_f (0 K): 0.372 eV/atom

Unit cell a=3.952 b=4.610 c=3.952 alpha=90.00 beta=90.00 gamma=90.00
Fractional coordinates of all 5 atoms:
Al 0.000 0.000 0.500
Al 0.500 0.000 0.000
C 0.000 0.000 0.000
Zn 0.000 0.500 0.000
Ag 0.500 0.500 0.500

---

Record 2
Computed, not measured: Ca2Al5Ag3 after structural relaxation at the PBE level of DFT.

- Crystal system: orthorhombic
- Symmetry: No. 72
- Energy above the most stable polymorph in this dataset: 0 meV per atom
- ΔH_f (0 K): -0.256 eV/atom

Unit cell a=5.986 b=8.872 c=8.872 alpha=82.73 beta=70.28 gamma=70.28
Fractional coordinates of all 20 atoms:
Al 0.123 0.015 0.739
Al 0.002 0.748 0.748
Al 0.750 0.500 0.500
Al 0.377 0.261 0.985
Al 0.877 0.985 0.261
Al 0.250 0.500 0.500
Al 0.623 0.739 0.015
Al 0.502 0.748 0.748
Al 0.998 0.252 0.252
Al 0.498 0.252 0.252
Ca 0.873 0.378 0.877
Ca 0.627 0.123 0.622
Ca 0.127 0.622 0.123
Ca 0.373 0.877 0.378
Ag 0.623 0.518 0.236
Ag 0.377 0.482 0.764
Ag 0.250 0.000 0.000
Ag 0.123 0.236 0.518
Ag 0.877 0.764 0.482
Ag 0.750 0.000 0.000

---

Record 3
Computed, not measured: CaAl3Ag after structural relaxation at the PBE level of DFT.

- Crystal system: cubic
- Symmetry: No. 221
- ΔH_f (0 K): 0.228 eV/atom

Unit cell a=4.949 b=4.949 c=4.949 alpha=90.00 beta=90.00 gamma=90.00
Fractional coordinates of all 5 atoms:
Ag 0.000 0.000 0.000
Al 0.000 0.000 0.500
Al 0.500 0.000 0.000
Al 0.000 0.500 0.000
Ca 0.500 0.500 0.500

---

Record 4
Computed, not measured: CaAl4Ag after structural relaxation at the PBE level of DFT.

- Crystal system: monoclinic
- Symmetry: No. 12
- ΔH_f (0 K): -0.148 eV/atom

Unit cell a=6.298 b=7.233 c=6.298 alpha=72.03 beta=66.79 gamma=72.03
Fractional coordinates of all 12 atoms:
Ag 0.609 0.208 0.609
Ag 0.391 0.792 0.391
Al 0.711 0.000 0.289
Al 0.419 0.559 0.808
Al 0.192 0.441 0.581
Al 0.289 0.000 0.711
Al 0.808 0.559 0.419
Al 0.581 0.441 0.192
Al 0.159 0.749 0.159
Al 0.841 0.251 0.841
Ca 0.834 0.786 0.834
Ca 0.166 0.214 0.166

---

Record 5
Computed, not measured: Ca3AlAg after structural relaxation at the PBE level of DFT.

- Crystal system: cubic
- Symmetry: No. 221
- Energy above the most stable polymorph in this dataset: 0 meV per atom
- ΔH_f (0 K): 0.154 eV/atom

Unit cell a=5.641 b=5.641 c=5.641 alpha=90.00 beta=90.00 gamma=90.00
Fractional coordinates of all 5 atoms:
Ca 0.000 0.000 0.500
Ca 0.500 0.000 0.000
Ca 0.000 0.500 0.000
Ag 0.000 0.000 0.000
Al 0.500 0.500 0.500

---

Record 6
Computed, not measured: CaAlAg after structural relaxation at the PBE level of DFT.

- Crystal system: tetragonal
- Symmetry: No. 107
- ΔH_f (0 K): -0.202 eV/atom

Unit cell a=6.014 b=6.014 c=3.497 alpha=73.09 beta=73.10 gamma=33.80
Fractional coordinates of all 3 atoms:
Ca 0.668 0.668 0.332
Ag 0.970 0.970 0.030
Al 0.362 0.362 0.638

---

Record 7
Computed, not measured: Ca3AlAg2 after structural relaxation at the PBE level of DFT.

- Crystal system: tetragonal
- Symmetry: No. 123
- ΔH_f (0 K): -0.266 eV/atom

Unit cell a=3.681 b=3.681 c=11.399 alpha=90.00 beta=90.00 gamma=90.00
Fractional coordinates of all 6 atoms:
Ca 0.000 0.000 0.667
Ca 0.000 0.000 0.333
Ca 0.000 0.000 0.000
Al 0.500 0.500 0.500
Ag 0.500 0.500 0.167
Ag 0.500 0.500 0.833

---

Record 8
Computed, not measured: CaAl4Ag12 after structural relaxation at the PBE level of DFT.

- Crystal system: cubic
- Symmetry: No. 204
- ΔH_f (0 K): 0.230 eV/atom

Unit cell a=7.812 b=7.812 c=7.812 alpha=109.47 beta=109.47 gamma=109.47
Fractional coordinates of all 17 atoms:
Ag 0.843 0.347 0.190
Ag 0.347 0.504 0.157
Ag 0.157 0.653 0.810
Ag 0.496 0.843 0.653
Ag 0.504 0.157 0.347
Ag 0.347 0.190 0.843
Ag 0.653 0.496 0.843
Ag 0.157 0.347 0.504
Ag 0.810 0.157 0.653
Ag 0.653 0.810 0.157
Ag 0.190 0.843 0.347
Ag 0.843 0.653 0.496
Al 0.000 0.500 0.000
Al 0.500 0.000 0.000
Al 0.000 0.000 0.500
Al 0.500 0.500 0.500
Ca 0.000 0.000 0.000

---

Record 9
Computed, not measured: Ca6Al2Ag after structural relaxation at the PBE level of DFT.

- Crystal system: orthorhombic
- Symmetry: No. 71
- ΔH_f (0 K): -0.141 eV/atom

Unit cell a=9.106 b=9.106 c=9.106 alpha=104.71 beta=112.51 gamma=111.30
Fractional coordinates of all 18 atoms:
Al 0.500 0.383 0.883
Al 0.362 0.000 0.362
Al 0.500 0.617 0.117
Al 0.638 0.000 0.638
Ag 0.000 0.000 0.000
Ag 0.000 0.500 0.500
Ca 0.799 0.753 0.552
Ca 0.553 0.733 0.820
Ca 0.201 0.247 0.448
Ca 0.295 0.966 0.672
Ca 0.913 0.733 0.180
Ca 0.799 0.247 0.046
Ca 0.705 0.034 0.328
Ca 0.447 0.267 0.180
Ca 0.705 0.377 0.672
Ca 0.201 0.753 0.954
Ca 0.087 0.267 0.820
Ca 0.295 0.623 0.328

---

Record 10
Computed, not measured: CaAl2Ag4 after structural relaxation at the PBE level of DFT.

- Crystal system: tetragonal
- Symmetry: No. 139
- Energy above the most stable polymorph in this dataset: 377 meV per atom
- ΔH_f (0 K): 0.160 eV/atom

Unit cell a=6.379 b=6.379 c=6.379 alpha=100.61 beta=100.61 gamma=129.18
Fractional coordinates of all 7 atoms:
Al 0.250 0.750 0.500
Al 0.750 0.250 0.500
Ag 0.500 0.734 0.234
Ag 0.734 0.500 0.234
Ag 0.266 0.500 0.766
Ag 0.500 0.266 0.766
Ca 0.000 0.000 0.000

---

Record 11
Computed, not measured: Ca2AlAg3 after structural relaxation at the PBE level of DFT.

- Crystal system: hexagonal
- Symmetry: No. 194
- Energy above the most stable polymorph in this dataset: 0 meV per atom
- ΔH_f (0 K): -0.323 eV/atom

Unit cell a=5.819 b=5.819 c=9.014 alpha=90.00 beta=90.00 gamma=120.00
Fractional coordinates of all 12 atoms:
Ag 0.334 0.167 0.750
Ag 0.833 0.666 0.750
Ag 0.167 0.334 0.250
Ag 0.666 0.833 0.250
Ag 0.167 0.833 0.250
Ag 0.833 0.167 0.750
Al 0.000 0.000 0.000
Al 0.000 0.000 0.500
Ca 0.333 0.667 0.944
Ca 0.333 0.667 0.556
Ca 0.667 0.333 0.444
Ca 0.667 0.333 0.056

---

Record 12
Computed, not measured: Ca2AlAg5 after structural relaxation at the PBE level of DFT.

- Crystal system: tetragonal
- Symmetry: No. 123
- ΔH_f (0 K): -0.067 eV/atom

Unit cell a=4.940 b=6.315 c=6.315 alpha=90.00 beta=90.00 gamma=90.00
Fractional coordinates of all 8 atoms:
Ca 0.500 0.500 0.000
Ca 0.500 0.000 0.500
Ag 0.000 0.283 0.283
Ag 0.000 0.283 0.717
Ag 0.000 0.717 0.283
Ag 0.500 0.000 0.000
Ag 0.000 0.717 0.717
Al 0.000 0.000 0.000

---

Record 13
Computed, not measured: Ca3Al3Ag2 after structural relaxation at the PBE level of DFT.

- Crystal system: orthorhombic
- Symmetry: No. 62
- ΔH_f (0 K): -0.250 eV/atom

Unit cell a=5.925 b=8.299 c=15.851 alpha=90.00 beta=90.00 gamma=90.00
Fractional coordinates of all 32 atoms:
Al 0.390 0.683 0.965
Al 0.890 0.817 0.465
Al 0.387 0.665 0.250
Al 0.610 0.317 0.465
Al 0.887 0.835 0.750
Al 0.113 0.165 0.250
Al 0.390 0.683 0.535
Al 0.110 0.183 0.535
Al 0.613 0.335 0.750
Al 0.890 0.817 0.035
Al 0.610 0.317 0.035
Al 0.110 0.183 0.965
Ca 0.118 0.461 0.109
Ca 0.115 0.184 0.750
Ca 0.382 0.961 0.109
Ca 0.885 0.816 0.250
Ca 0.618 0.039 0.891
Ca 0.118 0.461 0.391
Ca 0.382 0.961 0.391
Ca 0.615 0.316 0.250
Ca 0.882 0.539 0.609
Ca 0.385 0.684 0.750
Ca 0.882 0.539 0.891
Ca 0.618 0.039 0.609
Ag 0.115 0.894 0.607
Ag 0.885 0.106 0.107
Ag 0.885 0.106 0.393
Ag 0.115 0.894 0.893
Ag 0.385 0.394 0.607
Ag 0.615 0.606 0.107
Ag 0.385 0.394 0.893
Ag 0.615 0.606 0.393

---

Record 14
Computed, not measured: CaAl2Ag2 after structural relaxation at the PBE level of DFT.

- Crystal system: tetragonal
- Symmetry: No. 127
- ΔH_f (0 K): -0.104 eV/atom

Unit cell a=8.009 b=8.009 c=3.078 alpha=90.00 beta=90.00 gamma=90.00
Fractional coordinates of all 10 atoms:
Ca 0.500 0.500 0.000
Ca 0.000 0.000 0.000
Al 0.622 0.122 0.000
Al 0.122 0.378 0.000
Al 0.878 0.622 0.000
Al 0.378 0.878 0.000
Ag 0.674 0.826 0.500
Ag 0.174 0.674 0.500
Ag 0.326 0.174 0.500
Ag 0.826 0.326 0.500

---

Record 15
Computed, not measured: Ca2Al9Ag6 after structural relaxation at the PBE level of DFT.

- Crystal system: hexagonal
- Symmetry: No. 191
- ΔH_f (0 K): -0.114 eV/atom

Unit cell a=5.507 b=5.507 c=13.301 alpha=90.00 beta=90.00 gamma=120.00
Fractional coordinates of all 17 atoms:
Ag 0.333 0.667 0.000
Ag 0.333 0.667 0.667
Ag 0.333 0.667 0.333
Ag 0.667 0.333 0.000
Ag 0.667 0.333 0.333
Ag 0.667 0.333 0.667
Al 0.500 0.500 0.165
Al 0.500 0.000 0.835
Al 0.000 0.500 0.835
Al 0.000 0.500 0.500
Al 0.500 0.000 0.500
Al 0.000 0.500 0.165
Al 0.500 0.000 0.165
Al 0.500 0.500 0.500
Al 0.500 0.500 0.835
Ca 0.000 0.000 0.661
Ca 0.000 0.000 0.339

---

Record 16
Computed, not measured: CaAl2Ag10 after structural relaxation at the PBE level of DFT.

- Crystal system: orthorhombic
- Symmetry: No. 69
- ΔH_f (0 K): -0.108 eV/atom

Unit cell a=5.433 b=7.330 c=7.183 alpha=81.94 beta=67.78 gamma=68.25
Fractional coordinates of all 13 atoms:
Ag 0.653 0.354 0.340
Ag 0.993 0.354 0.660
Ag 0.494 0.225 0.788
Ag 0.719 0.775 0.788
Ag 0.007 0.646 0.340
Ag 0.281 0.225 0.212
Ag 0.000 0.000 0.500
Ag 0.347 0.646 0.660
Ag 0.500 0.000 0.500
Ag 0.506 0.775 0.212
Al 0.000 0.500 0.000
Al 0.500 0.500 0.000
Ca 0.000 0.000 0.000

---

Record 17
Computed, not measured: Ca2Al2Ag after structural relaxation at the PBE level of DFT.

- Crystal system: tetragonal
- Symmetry: No. 127
- Energy above the most stable polymorph in this dataset: 57 meV per atom
- ΔH_f (0 K): -0.211 eV/atom

Unit cell a=7.149 b=7.149 c=4.835 alpha=90.00 beta=90.00 gamma=90.00
Fractional coordinates of all 10 atoms:
Al 0.368 0.868 0.000
Al 0.132 0.368 0.000
Al 0.632 0.132 0.000
Al 0.868 0.632 0.000
Ca 0.329 0.171 0.500
Ca 0.171 0.671 0.500
Ca 0.671 0.829 0.500
Ca 0.829 0.329 0.500
Ag 0.000 0.000 0.000
Ag 0.500 0.500 0.000

---

Record 18
Computed, not measured: Ca2Al2Ag after structural relaxation at the PBE level of DFT.

- Crystal system: tetragonal
- Symmetry: No. 139
- Energy above the most stable polymorph in this dataset: 205 meV per atom
- ΔH_f (0 K): -0.063 eV/atom

Unit cell a=3.800 b=3.800 c=9.495 alpha=78.46 beta=78.46 gamma=90.00
Fractional coordinates of all 5 atoms:
Ca 0.399 0.399 0.201
Ca 0.601 0.601 0.799
Al 0.750 0.250 0.500
Al 0.250 0.750 0.500
Ag 0.000 0.000 0.000

---

Record 19
Computed, not measured: Ca3Al7Ag4 after structural relaxation at the PBE level of DFT.

- Crystal system: monoclinic
- Symmetry: No. 12
- ΔH_f (0 K): -0.273 eV/atom

Unit cell a=4.455 b=8.354 c=8.618 alpha=69.90 beta=75.02 gamma=74.54
Fractional coordinates of all 14 atoms:
Ag 0.339 0.534 0.788
Ag 0.124 0.095 0.658
Ag 0.876 0.905 0.342
Ag 0.661 0.466 0.212
Al 0.326 0.826 0.522
Al 0.000 0.000 0.000
Al 0.138 0.641 0.083
Al 0.862 0.359 0.917
Al 0.499 0.198 0.805
Al 0.674 0.174 0.478
Al 0.501 0.802 0.195
Ca 0.000 0.500 0.500
Ca 0.696 0.801 0.807
Ca 0.304 0.199 0.193

---

Record 20
Computed, not measured: CaAl2Ag after structural relaxation at the PBE level of DFT.

- Crystal system: monoclinic
- Symmetry: No. 12
- ΔH_f (0 K): 0.010 eV/atom

Unit cell a=6.550 b=5.502 c=3.087 alpha=89.01 beta=63.75 gamma=118.12
Fractional coordinates of all 4 atoms:
Ag 0.500 0.500 0.000
Ca 0.000 0.500 0.500
Al 0.000 0.000 0.000
Al 0.500 0.000 0.500